The following is a PBE-GGA calculation of a relaxed structure of YWBr2, from the Alexandria database.

Lattice parameters (Å, degrees): 7.0004 7.0004 7.0004 90.00 90.00 90.00
Element x y z (fractional)
Y 0.0000 0.0000 0.0000
Y 0.0000 0.5000 0.5000
Y 0.5000 0.0000 0.5000
Y 0.5000 0.5000 0.0000
W 0.0000 0.0000 0.5000
W 0.0000 0.5000 0.0000
W 0.5000 0.0000 0.0000
W 0.5000 0.5000 0.5000
Br 0.2500 0.2500 0.2500
Br 0.2500 0.2500 0.7500
Br 0.2500 0.7500 0.2500
Br 0.2500 0.7500 0.7500
Br 0.7500 0.2500 0.2500
Br 0.7500 0.2500 0.7500
Br 0.7500 0.7500 0.2500
Br 0.7500 0.7500 0.7500

Properties
E_form (uncorrected) = 497 meV/atom
N(E_F) = 9.39 states/eV/cell



The following is a PBE-GGA calculation of a relaxed structure of YWBr, from the Alexandria database.

Lattice parameters (Å, degrees): 3.3303 3.3303 7.6442 90.00 90.00 120.00
Element x y z (fractional)
Y 0.0000 0.0000 0.0000
W 0.3333 0.6667 0.7004
Br 0.6667 0.3333 0.2790

Properties
E_form (uncorrected) = 458 meV/atom
N(E_F) = 2.86 states/eV/cell



The following is a PBE-GGA calculation of a relaxed structure of ZnW2Br, from the Alexandria database.

Lattice parameters (Å, degrees): 5.4354 10.0963 3.0931 90.00 123.42 90.00
Element x y z (fractional)
Zn 0.0000 0.0000 0.0000
Zn 0.5000 0.5000 0.0000
W 0.2500 0.2500 0.0000
W 0.2500 0.7500 0.0000
W 0.7500 0.2500 0.0000
W 0.7500 0.7500 0.0000
Br 0.0000 0.5000 0.0000
Br 0.5000 0.0000 0.0000

Properties
E_form (uncorrected) = 1009 meV/atom
N(E_F) = 7.48 states/eV/cell



The following is a PBE-GGA calculation of a relaxed structure of ZnW2Br, from the Alexandria database.

Lattice parameters (Å, degrees): 9.6692 2.9122 4.9773 90.00 106.40 90.00
Element x y z (fractional)
Zn 0.0000 0.0000 0.0000
Zn 0.5000 0.5000 0.0000
W 0.0024 0.5000 0.5316
W 0.2507 0.0000 0.8158
W 0.5024 0.0000 0.5316
W 0.7507 0.5000 0.8158
Br 0.2666 0.5000 0.2696
Br 0.7666 0.0000 0.2696

Properties
E_form (uncorrected) = 960 meV/atom
N(E_F) = 6.65 states/eV/cell



The following is a PBE-GGA calculation of a relaxed structure of ZnW2Br, from the Alexandria database.

Lattice parameters (Å, degrees): 6.3178 6.3178 6.3178 90.00 90.00 90.00
Element x y z (fractional)
Zn 0.0000 0.0000 0.0000
Zn 0.0000 0.5000 0.5000
Zn 0.5000 0.0000 0.5000
Zn 0.5000 0.5000 0.0000
W 0.2500 0.2500 0.2500
W 0.2500 0.2500 0.7500
W 0.2500 0.7500 0.2500
W 0.2500 0.7500 0.7500
W 0.7500 0.2500 0.2500
W 0.7500 0.2500 0.7500
W 0.7500 0.7500 0.2500
W 0.7500 0.7500 0.7500
Br 0.0000 0.0000 0.5000
Br 0.0000 0.5000 0.0000
Br 0.5000 0.0000 0.0000
Br 0.5000 0.5000 0.5000

Properties
E_form (uncorrected) = 1230 meV/atom
N(E_F) = 26.73 states/eV/cell



The following is a PBE-GGA calculation of a relaxed structure of ZnW2Br, from the Alexandria database.

Lattice parameters (Å, degrees): 3.8748 3.8748 19.7028 90.00 90.00 90.00
Element x y z (fractional)
Zn 0.0000 0.0000 0.0000
Zn 0.0000 0.5000 0.2500
Zn 0.5000 0.0000 0.7500
Zn 0.5000 0.5000 0.5000
W 0.2148 0.2500 0.1250
W 0.2500 0.7148 0.3750
W 0.2500 0.7852 0.8750
W 0.2852 0.2500 0.6250
W 0.7148 0.7500 0.6250
W 0.7500 0.2148 0.8750
W 0.7500 0.2852 0.3750
W 0.7852 0.7500 0.1250
Br 0.0000 0.0000 0.5000
Br 0.0000 0.5000 0.7500
Br 0.5000 0.0000 0.2500
Br 0.5000 0.5000 0.0000

Properties
E_form (uncorrected) = 1062 meV/atom
N(E_F) = 12.91 states/eV/cell



The following is a PBE-GGA calculation of a relaxed structure of ZnW2Br, from the Alexandria database.

Lattice parameters (Å, degrees): 3.2013 4.9583 9.3500 90.00 90.00 90.00
Element x y z (fractional)
Zn 0.0000 0.0000 0.0000
Zn 0.5000 0.5000 0.0000
W 0.0000 0.0000 0.4484
W 0.0000 0.5000 0.2332
W 0.5000 0.0000 0.2332
W 0.5000 0.5000 0.4484
Br 0.0000 0.5000 0.6939
Br 0.5000 0.0000 0.6939

Properties
E_form (uncorrected) = 558 meV/atom
N(E_F) = 5.99 states/eV/cell



The following is a PBE-GGA calculation of a relaxed structure of ZnWBr3, from the Alexandria database.

Lattice parameters (Å, degrees): 5.1302 5.1302 5.1302 90.00 90.00 90.00
Element x y z (fractional)
Zn 0.0000 0.0000 0.0000
W 0.5000 0.5000 0.5000
Br 0.0000 0.0000 0.5000
Br 0.0000 0.5000 0.0000
Br 0.5000 0.0000 0.0000

Properties
E_form (uncorrected) = 862 meV/atom
N(E_F) = 6.73 states/eV/cell



The following is a PBE-GGA calculation of a relaxed structure of ZnW2Br, from the Alexandria database.

Lattice parameters (Å, degrees): 3.8457 3.8457 4.6913 90.00 90.00 90.00
Element x y z (fractional)
Zn 0.0000 0.0000 0.0000
W 0.0000 0.5000 0.5000
W 0.5000 0.0000 0.5000
Br 0.5000 0.5000 0.0000

Properties
E_form (uncorrected) = 1262 meV/atom
N(E_F) = 1.67 states/eV/cell



The following is a PBE-GGA calculation of a relaxed structure of ZnW2Br, from the Alexandria database.

Lattice parameters (Å, degrees): 2.9130 4.4388 5.4064 90.00 99.73 90.00
Element x y z (fractional)
Zn 0.0000 0.0000 0.0000
W 0.3846 0.5000 0.7418
W 0.6346 0.0000 0.5194
Br 0.5779 0.5000 0.2245

Properties
E_form (uncorrected) = 803 meV/atom
N(E_F) = 2.54 states/eV/cell



The following is a PBE-GGA calculation of a relaxed structure of ZnW2Br, from the Alexandria database.

Lattice parameters (Å, degrees): 5.4116 8.8570 2.8425 90.00 90.00 90.00
Element x y z (fractional)
Zn 0.0000 0.0000 0.0000
Zn 0.5000 0.5000 0.0000
W 0.2500 0.2500 0.5000
W 0.2500 0.7500 0.5000
W 0.7500 0.2500 0.5000
W 0.7500 0.7500 0.5000
Br 0.0000 0.5000 0.0000
Br 0.5000 0.0000 0.0000

Properties
E_form (uncorrected) = 1228 meV/atom
N(E_F) = 5.66 states/eV/cell



The following is a PBE-GGA calculation of a relaxed structure of ZnW2Br, from the Alexandria database.

Lattice parameters (Å, degrees): 2.9676 4.7987 4.8180 90.00 90.00 90.00
Element x y z (fractional)
Zn 0.0000 0.0000 0.0000
W 0.0000 0.5000 0.5000
W 0.5000 0.5000 0.0000
Br 0.5000 0.0000 0.5000

Properties
E_form (uncorrected) = 991 meV/atom
N(E_F) = 3.12 states/eV/cell



The following is a PBE-GGA calculation of a relaxed structure of ZnW3Br, from the Alexandria database.

Lattice parameters (Å, degrees): 4.5939 4.5939 4.5939 90.00 90.00 90.00
Element x y z (fractional)
Zn 0.0000 0.0000 0.0000
W 0.0000 0.5000 0.5000
W 0.5000 0.0000 0.5000
W 0.5000 0.5000 0.0000
Br 0.5000 0.5000 0.5000

Properties
E_form (uncorrected) = 2168 meV/atom
N(E_F) = 4.37 states/eV/cell



The following is a PBE-GGA calculation of a relaxed structure of ZnW2Br, from the Alexandria database.

Lattice parameters (Å, degrees): 3.2733 3.2733 6.7244 90.00 90.00 90.00
Element x y z (fractional)
Zn 0.0000 0.0000 0.0000
W 0.5000 0.5000 0.1825
W 0.5000 0.5000 0.8175
Br 0.0000 0.0000 0.5000

Properties
E_form (uncorrected) = 948 meV/atom
N(E_F) = 2.48 states/eV/cell



The following is a PBE-GGA calculation of a relaxed structure of ZnW2Br, from the Alexandria database.

Lattice parameters (Å, degrees): 2.9371 2.9371 26.5556 90.00 90.00 120.00
Element x y z (fractional)
Zn 0.0000 0.0000 0.0000
Zn 0.3333 0.6667 0.6667
Zn 0.6667 0.3333 0.3333
W 0.0000 0.0000 0.2502
W 0.0000 0.0000 0.7498
W 0.3333 0.6667 0.4165
W 0.3333 0.6667 0.9168
W 0.6667 0.3333 0.0832
W 0.6667 0.3333 0.5835
Br 0.0000 0.0000 0.5000
Br 0.3333 0.6667 0.1667
Br 0.6667 0.3333 0.8333

Properties
E_form (uncorrected) = 849 meV/atom
N(E_F) = 10.62 states/eV/cell



The following is a PBE-GGA calculation of a relaxed structure of ZnWBr, from the Alexandria database.

Lattice parameters (Å, degrees): 6.1321 6.1321 6.1321 90.00 90.00 90.00
Element x y z (fractional)
Zn 0.0000 0.0000 0.0000
Zn 0.0000 0.5000 0.5000
Zn 0.5000 0.0000 0.5000
Zn 0.5000 0.5000 0.0000
W 0.0000 0.0000 0.5000
W 0.0000 0.5000 0.0000
W 0.5000 0.0000 0.0000
W 0.5000 0.5000 0.5000
Br 0.2500 0.2500 0.2500
Br 0.2500 0.7500 0.7500
Br 0.7500 0.2500 0.7500
Br 0.7500 0.7500 0.2500

Properties
E_form (uncorrected) = 1641 meV/atom
N(E_F) = 7.56 states/eV/cell



The following is a PBE-GGA calculation of a relaxed structure of ZnWBr, from the Alexandria database.

Lattice parameters (Å, degrees): 2.9812 5.5292 14.4118 90.00 90.00 90.00
Element x y z (fractional)
Zn 0.0000 0.0000 0.0000
Zn 0.0000 0.5000 0.5000
Zn 0.5000 0.0000 0.5000
Zn 0.5000 0.5000 0.0000
W 0.0000 0.0000 0.3505
W 0.0000 0.5000 0.8505
W 0.5000 0.0000 0.8505
W 0.5000 0.5000 0.3505
Br 0.0000 0.0000 0.7037
Br 0.0000 0.5000 0.2037
Br 0.5000 0.0000 0.2037
Br 0.5000 0.5000 0.7037

Properties
E_form (uncorrected) = 718 meV/atom
N(E_F) = 8.31 states/eV/cell



The following is a PBE-GGA calculation of a relaxed structure of Zn3WBr, from the Alexandria database.

Lattice parameters (Å, degrees): 4.9202 4.9202 4.9202 90.00 90.00 90.00
Element x y z (fractional)
Zn 0.0000 0.0000 0.5000
Zn 0.0000 0.5000 0.0000
Zn 0.5000 0.0000 0.0000
W 0.5000 0.5000 0.5000
Br 0.0000 0.0000 0.0000

Properties
E_form (uncorrected) = 1729 meV/atom
N(E_F) = 4.68 states/eV/cell



The following is a PBE-GGA calculation of a relaxed structure of ZnW2Br, from the Alexandria database.

Lattice parameters (Å, degrees): 9.4881 2.9804 4.8408 90.00 101.71 90.00
Element x y z (fractional)
Zn 0.0000 0.0000 0.0000
Zn 0.5000 0.5000 0.0000
W 0.2470 0.5000 0.2400
W 0.2530 0.0000 0.7600
W 0.7470 0.0000 0.2400
W 0.7530 0.5000 0.7600
Br 0.0000 0.5000 0.5000
Br 0.5000 0.0000 0.5000

Properties
E_form (uncorrected) = 884 meV/atom
N(E_F) = 4.31 states/eV/cell



The following is a PBE-GGA calculation of a relaxed structure of ZnW2Br, from the Alexandria database.

Lattice parameters (Å, degrees): 4.8422 2.9719 4.8670 90.00 106.76 90.00
Element x y z (fractional)
Zn 0.0000 0.0000 0.0000
W 0.0000 0.5000 0.5000
W 0.5000 0.0000 0.5000
Br 0.5000 0.5000 0.0000

Properties
E_form (uncorrected) = 915 meV/atom
N(E_F) = 3.04 states/eV/cell



The following is a PBE-GGA calculation of a relaxed structure of ZnWBr3, from the Alexandria database.

Lattice parameters (Å, degrees): 5.2536 5.2536 5.2536 90.00 90.00 90.00
Element x y z (fractional)
Zn 0.0000 0.0000 0.0000
W 0.5000 0.5000 0.5000
Br 0.0000 0.5000 0.5000
Br 0.5000 0.0000 0.5000
Br 0.5000 0.5000 0.0000

Properties
E_form (uncorrected) = 334 meV/atom
N(E_F) = 3.41 states/eV/cell



The following is a PBE-GGA calculation of a relaxed structure of ZnW2Br2, from the Alexandria database.

Lattice parameters (Å, degrees): 3.6250 3.6250 19.2579 90.00 90.00 90.00
Element x y z (fractional)
Zn 0.0000 0.0000 0.0000
Zn 0.5000 0.5000 0.5000
W 0.0000 0.5000 0.2500
W 0.0000 0.5000 0.7500
W 0.5000 0.0000 0.2500
W 0.5000 0.0000 0.7500
Br 0.0000 0.0000 0.3706
Br 0.0000 0.0000 0.6294
Br 0.5000 0.5000 0.1294
Br 0.5000 0.5000 0.8706

Properties
E_form (uncorrected) = 913 meV/atom
N(E_F) = 7.24 states/eV/cell



The following is a PBE-GGA calculation of a relaxed structure of ZnW2Br, from the Alexandria database.

Lattice parameters (Å, degrees): 3.3245 4.6990 5.2134 90.00 100.43 90.00
Element x y z (fractional)
Zn 0.0000 0.0000 0.0000
W 0.3136 0.5000 0.1740
W 0.6864 0.5000 0.8260
Br 0.5000 0.0000 0.5000

Properties
E_form (uncorrected) = 816 meV/atom
N(E_F) = 2.20 states/eV/cell



The following is a PBE-GGA calculation of a relaxed structure of ZnW2Br, from the Alexandria database.

Lattice parameters (Å, degrees): 3.8585 3.8585 9.3094 90.00 90.00 90.00
Element x y z (fractional)
Zn 0.0000 0.0000 0.0000
Zn 0.5000 0.5000 0.5000
W 0.0000 0.5000 0.2500
W 0.0000 0.5000 0.7500
W 0.5000 0.0000 0.2500
W 0.5000 0.0000 0.7500
Br 0.0000 0.0000 0.5000
Br 0.5000 0.5000 0.0000

Properties
E_form (uncorrected) = 1280 meV/atom
N(E_F) = 4.16 states/eV/cell



The following is a PBE-GGA calculation of a relaxed structure of ZnWBr, from the Alexandria database.

Lattice parameters (Å, degrees): 3.0358 3.0358 13.2035 90.00 90.00 90.00
Element x y z (fractional)
Zn 0.0000 0.0000 0.0000
Zn 0.5000 0.5000 0.5000
W 0.0000 0.0000 0.6224
W 0.5000 0.5000 0.1224
Br 0.0000 0.0000 0.2541
Br 0.5000 0.5000 0.7541

Properties
E_form (uncorrected) = 656 meV/atom
N(E_F) = 2.32 states/eV/cell



The following is a PBE-GGA calculation of a relaxed structure of ZnW2Br, from the Alexandria database.

Lattice parameters (Å, degrees): 3.1950 3.1950 8.0060 90.00 90.00 90.00
Element x y z (fractional)
Zn 0.0000 0.0000 0.0000
W 0.0000 0.0000 0.6297
W 0.5000 0.5000 0.8018
Br 0.5000 0.5000 0.3838

Properties
E_form (uncorrected) = 544 meV/atom
N(E_F) = 2.98 states/eV/cell



The following is a PBE-GGA calculation of a relaxed structure of ZnWBr, from the Alexandria database.

Lattice parameters (Å, degrees): 6.2140 6.2140 6.2140 90.00 90.00 90.00
Element x y z (fractional)
Zn 0.0000 0.0000 0.0000
Zn 0.0000 0.5000 0.5000
Zn 0.5000 0.0000 0.5000
Zn 0.5000 0.5000 0.0000
W 0.2500 0.2500 0.7500
W 0.2500 0.7500 0.2500
W 0.7500 0.2500 0.2500
W 0.7500 0.7500 0.7500
Br 0.0000 0.0000 0.5000
Br 0.0000 0.5000 0.0000
Br 0.5000 0.0000 0.0000
Br 0.5000 0.5000 0.5000

Properties
E_form (uncorrected) = 1368 meV/atom
N(E_F) = 9.55 states/eV/cell



The following is a PBE-GGA calculation of a relaxed structure of ZnW2Br, from the Alexandria database.

Lattice parameters (Å, degrees): 4.4075 4.4075 6.9609 90.00 90.00 90.00
Element x y z (fractional)
Zn 0.0000 0.0000 0.0000
Zn 0.5000 0.5000 0.5000
W 0.0000 0.0000 0.5000
W 0.0000 0.5000 0.2500
W 0.5000 0.0000 0.7500
W 0.5000 0.5000 0.0000
Br 0.0000 0.5000 0.7500
Br 0.5000 0.0000 0.2500

Properties
E_form (uncorrected) = 1062 meV/atom
N(E_F) = 3.57 states/eV/cell



The following is a PBE-GGA calculation of a relaxed structure of ZnWBr, from the Alexandria database.

Lattice parameters (Å, degrees): 4.5614 4.5614 2.8973 90.00 90.00 120.00
Element x y z (fractional)
Zn 0.0000 0.0000 0.0000
W 0.6667 0.3333 0.5000
Br 0.3333 0.6667 0.5000

Properties
E_form (uncorrected) = 909 meV/atom
N(E_F) = 2.39 states/eV/cell



The following is a PBE-GGA calculation of a relaxed structure of ZnWBr, from the Alexandria database.

Lattice parameters (Å, degrees): 3.0815 3.0815 6.9034 90.00 90.00 120.00
Element x y z (fractional)
Zn 0.0000 0.0000 0.0000
W 0.3333 0.6667 0.7042
Br 0.6667 0.3333 0.4255

Properties
E_form (uncorrected) = 521 meV/atom
N(E_F) = 1.70 states/eV/cell



The following is a PBE-GGA calculation of a relaxed structure of ZnW2Br, from the Alexandria database.

Lattice parameters (Å, degrees): 3.1747 4.3827 12.1541 90.00 90.00 90.00
Element x y z (fractional)
Zn 0.0000 0.0000 0.0000
Zn 0.5000 0.5000 0.5000
W 0.0000 0.0000 0.4674
W 0.0000 0.5000 0.1195
W 0.5000 0.0000 0.6195
W 0.5000 0.5000 0.9674
Br 0.0000 0.5000 0.7650
Br 0.5000 0.0000 0.2650

Properties
E_form (uncorrected) = 777 meV/atom
N(E_F) = 5.36 states/eV/cell